Entry 1:
Ti2N2O: optimized geometry, PBEsol.

Geometry as POSCAR:
```
Ti2N2O
1.0
-1.9938 -2.0659 0.7215
2.4857 -4.4667 0.1527
2.6255 0.5463 14.8922
O N Ti
4 8 8
Cartesian
2.6605 -1.7473 14.4948 O
4.1278 -3.5523 13.3812 O
-1.0103 -2.4340 2.3851 O
0.4569 -4.2389 1.2716 O
1.5473 -0.7028 8.3361 N
1.6948 -3.6732 12.3848 N
1.4227 -2.3130 3.3816 N
1.5702 -5.2834 7.4303 N
0.6736 -2.7886 6.0232 N
2.4438 -3.1977 9.7432 N
0.7984 -1.1765 10.9837 N
2.3190 -4.8097 4.7827 N
-0.4117 -2.3876 4.1721 Ti
0.9164 -0.7388 6.4900 Ti
0.6275 -3.2221 10.7275 Ti
0.7921 -2.3594 1.5062 Ti
2.4899 -2.7642 5.0389 Ti
2.2010 -5.2474 9.2764 Ti
2.3253 -3.6268 14.2602 Ti
3.5292 -3.5987 11.5943 Ti
```

Formation energy without anion corrections   -1956 meV/atom
Space group   No. 12
Volume   54.5 Å³/f.u.
Mass density   4.26 g cm⁻³
Total magnetic moment   0.0 μB per formula unit
DFT total energy   -194.92 eV/cell

Entry 2:
AlGaF2: optimized geometry, PBEsol.

Geometry as POSCAR:
```
AlGaF2
1.0
3.1469 0.0000 0.0000
1.5735 2.7253 0.0000
1.5735 0.9084 8.0834
F Ga Al
2 1 1
Cartesian
1.5735 0.9084 4.9473 F
4.7204 2.7253 3.1361 F
0.0000 0.0000 0.0000 Ga
3.1469 1.8169 4.0417 Al
```

Formation energy without anion corrections   -1487 meV/atom
Space group   No. 166
Volume   69.3 Å³/f.u.
Mass density   3.23 g cm⁻³
Total magnetic moment   0.0 μB per formula unit
DFT total energy   -17.24 eV/cell

Entry 3:
NaFeTe2I: optimized geometry, PBEsol.

Geometry as POSCAR:
```
NaFeTe2I
1.0
5.3750 0.0000 0.0000
0.0000 5.3750 0.0000
0.0000 0.0000 5.5978
Te Fe I Na
2 1 1 1
Cartesian
2.6875 0.0000 0.0000 Te
0.0000 2.6875 0.0000 Te
2.6875 2.6875 2.7989 Fe
0.0000 0.0000 2.7989 I
0.0000 0.0000 0.0000 Na
```

Formation energy without anion corrections   1038 meV/atom
Space group   No. 123
Volume   161.7 Å³/f.u.
Mass density   4.73 g cm⁻³
Total magnetic moment   3.9 μB per formula unit
DFT total energy   -13.99 eV/cell

Entry 4:
KCdPt2: optimized geometry, PBEsol.

Geometry as POSCAR:
```
KCdPt2
1.0
-1.0342 -2.1086 -1.6231
2.0392 -3.5342 3.2919
-4.8780 1.3130 1.4023
Cd Pt K
1 2 1
Cartesian
-0.5171 -1.0543 -0.8116 Cd
1.0196 -1.7671 1.6460 Pt
-2.4390 0.6565 0.7012 Pt
-1.9365 -2.1649 1.5356 K
```

Space group   No. 65
Offset from the most stable computed form   101 meV per atom
Volume   73.1 Å³/f.u.
Mass density   12.30 g cm⁻³
Total magnetic moment   0.0 μB per formula unit
Calculated formation energy   0.1604 eV per atom
DFT total energy   -15.62 eV/cell

Entry 5:
Li2MgAs: optimized geometry, PBEsol.

Geometry as POSCAR:
```
Li2MgAs
1.0
4.1280 0.0974 0.0995
-0.0909 3.9595 0.0393
-0.0909 -0.0424 3.9595
Li Mg As
2 1 1
Cartesian
-0.0454 1.9798 0.0196 Li
-0.0454 -0.0212 1.9797 Li
1.9731 2.0073 2.0491 Mg
2.0640 0.0487 0.0497 As
```

Space group   No. 123
Offset from the most stable computed form   0 meV per atom
Volume   64.8 Å³/f.u.
Mass density   2.90 g cm⁻³
Total magnetic moment   0.0 μB per formula unit
Calculated formation energy   -0.4909 eV per atom
DFT total energy   -12.72 eV/cell

Entry 6:
LiInPS2: optimized geometry, PBEsol.

Geometry as POSCAR:
```
LiInPS2
1.0
4.9716 0.0000 0.0000
0.0000 5.0664 0.0000
0.0000 0.0000 5.0664
P Li S In
1 1 2 1
Cartesian
2.4858 0.0000 0.0000 P
2.4858 2.5332 2.5332 Li
0.0000 2.5332 0.0000 S
0.0000 0.0000 2.5332 S
0.0000 0.0000 0.0000 In
```

Formation energy without anion corrections   373 meV/atom
Space group   No. 123
Volume   127.6 Å³/f.u.
Mass density   2.82 g cm⁻³
Total magnetic moment   1.2 μB per formula unit
DFT total energy   -17.64 eV/cell

Entry 7:
CaY3Sn: optimized geometry, PBEsol.

Geometry as POSCAR:
```
CaY3Sn
1.0
-2.5184 -1.7536 -4.8619
1.2442 -5.4550 1.3230
-5.0165 -0.4726 2.7690
Y Ca Sn
3 1 1
Cartesian
-2.5083 -0.2363 1.3845 Y
-1.2592 -0.8768 -2.4310 Y
0.6221 -2.7275 0.6615 Y
-3.1454 -3.8406 -0.3850 Ca
0.0000 0.0000 0.0000 Sn
```

Space group   No. 221
Offset from the most stable computed form   0 meV per atom
Volume   190.1 Å³/f.u.
Mass density   3.72 g cm⁻³
Total magnetic moment   0.0 μB per formula unit
Calculated formation energy   0.0941 eV per atom
DFT total energy   -26.39 eV/cell

Entry 8:
HgP2ClF: optimized geometry, PBEsol.

Geometry as POSCAR:
```
HgP2ClF
1.0
-0.4861 -3.4459 -2.1279
4.0491 -0.3704 -0.3252
0.1138 -3.0037 4.8382
Cl P Hg F
1 2 1 1
Cartesian
0.0569 -1.5018 2.4191 Cl
2.0246 -0.1852 -0.1626 P
-0.2431 -1.7229 -1.0639 P
1.8384 -3.4100 1.1926 Hg
0.0000 0.0000 0.0000 F
```

Formation energy without anion corrections   446 meV/atom
Space group   No. 123
Volume   94.8 Å³/f.u.
Mass density   5.55 g cm⁻³
Total magnetic moment   0.0 μB per formula unit
DFT total energy   -13.85 eV/cell

Entry 9:
KLi2As: optimized geometry, PBEsol.

Geometry as POSCAR:
```
KLi2As
1.0
-0.8070 0.6877 4.2782
-4.1521 0.0606 1.4775
-1.4049 -5.1840 2.8387
Li K As
2 1 1
Cartesian
-4.7276 -4.3215 6.6143 Li
-1.6364 -0.1142 1.9801 Li
-3.1820 -2.2179 4.2972 K
0.0000 0.0000 0.0000 As
```

Space group   No. 166
Volume   92.8 Å³/f.u.
Mass density   2.29 g cm⁻³
Total magnetic moment   0.0 μB per formula unit
Calculated formation energy   -0.5791 eV per atom
DFT total energy   -12.49 eV/cell

Entry 10:
CaZnCl: optimized geometry, PBEsol.

Geometry as POSCAR:
```
CaZnCl
1.0
-0.3850 -2.3343 4.1099
3.8960 -1.5045 2.2464
1.3572 2.0758 4.0420
Ca Cl Zn
1 1 1
Cartesian
2.4341 -0.8815 5.1992 Ca
3.6511 -1.3223 7.7988 Cl
0.0000 0.0000 0.0000 Zn
```

Formation energy without anion corrections   -614 meV/atom
Space group   No. 216
Offset from the most stable computed form   128 meV per atom
Volume   75.4 Å³/f.u.
Mass density   3.10 g cm⁻³
Total magnetic moment   0.0 μB per formula unit
DFT total energy   -7.56 eV/cell

Entry 11:
CaS2NCl: optimized geometry, PBEsol.

Geometry as POSCAR:
```
CaS2NCl
1.0
-2.0927 2.9828 1.5496
-3.8842 -2.6843 -0.0788
0.9911 -1.5618 4.3448
N S Cl Ca
1 2 1 1
Cartesian
-1.0464 1.4914 0.7748 N
0.4956 -0.7809 2.1724 S
-1.9421 -1.3421 -0.0394 S
0.0000 0.0000 0.0000 Cl
-2.4929 -0.6316 2.9078 Ca
```

Formation energy without anion corrections   465 meV/atom
Space group   No. 123
Offset from the most stable computed form   699 meV per atom
Volume   88.3 Å³/f.u.
Mass density   2.89 g cm⁻³
Total magnetic moment   1.6 μB per formula unit
DFT total energy   -19.11 eV/cell

Entry 12:
SrCa2La: optimized geometry, PBEsol.

Geometry as POSCAR:
```
SrCa2La
1.0
6.1308 0.0000 0.0000
3.0654 5.3094 0.0000
3.0654 1.7698 5.0058
Ca Sr La
2 1 1
Cartesian
9.1962 5.3094 3.7543 Ca
0.0000 0.0000 0.0000 Ca
3.0654 1.7698 1.2514 Sr
6.1308 3.5396 2.5029 La
```

Space group   No. 216
Offset from the most stable computed form   60 meV per atom
Volume   162.9 Å³/f.u.
Mass density   3.13 g cm⁻³
Total magnetic moment   0.0 μB per formula unit
Calculated formation energy   0.1327 eV per atom
DFT total energy   -10.92 eV/cell

Please write out number 9 again, unchanged.
KLi2As: optimized geometry, PBEsol.

Geometry as POSCAR:
```
KLi2As
1.0
-0.8070 0.6877 4.2782
-4.1521 0.0606 1.4775
-1.4049 -5.1840 2.8387
Li K As
2 1 1
Cartesian
-4.7276 -4.3215 6.6143 Li
-1.6364 -0.1142 1.9801 Li
-3.1820 -2.2179 4.2972 K
0.0000 0.0000 0.0000 As
```

Space group   No. 166
Volume   92.8 Å³/f.u.
Mass density   2.29 g cm⁻³
Total magnetic moment   0.0 μB per formula unit
Calculated formation energy   -0.5791 eV per atom
DFT total energy   -12.49 eV/cell